Material: Pm2Mg2Ge
Method: DFT, GGA-PBE
State: relaxed

Output
The total magnetization comes out at 0.000 μB/cell. For the density of states at the Fermi level, the calculation gives 0.969 states/eV per atom. The calculation puts the formation energy at -0.071 eV per atom.

abc: 3.9382 3.9382 9.4528
angles: 102.02 102.02 90.00
Closest atoms and distances in Å follow each position.
Fractional positions:
Mg  0.2500  0.7500  0.5000  4 Mg 2.78
Mg  0.7500  0.2500  0.5000  4 Mg 2.78
Pm  0.4161  0.4161  0.8322  1 Pm 3.03, 4 Ge 3.17
Pm  0.5839  0.5839  0.1678  1 Pm 3.03, 4 Ge 3.17
Ge  0.0000  0.0000  0.0000  8 Pm 3.17